Record 1
The following is a PBE calculation of a geometry-optimized LiCa2Fe structure, from the Alexandria database.

Properties
formation energy = 0.470 eV per atom
magnetization = 6.7 μB per cell

```
data_LiCa2Fe
_chemical_formula_sum 'Li3 Ca6 Fe3'
_space_group_name_H-M_alt 'R -3 m'
_space_group_IT_number 166
_space_group_name_Hall '-R 3 2"'
_cell_length_a 3.5921
_cell_length_b 3.5921
_cell_length_c 30.0670
_cell_angle_alpha 90.00
_cell_angle_beta 90.00
_cell_angle_gamma 120.00
loop_
_atom_site_label
_atom_site_type_symbol
_atom_site_fract_x
_atom_site_fract_y
_atom_site_fract_z
Li1 Li 0.0000 0.0000 0.0000
Ca1 Ca 0.0000 0.0000 0.2371
Fe1 Fe 0.0000 0.0000 0.5000
```



Record 2
The following is a PBE calculation of a geometry-optimized SbPdPb2Br structure, from the Alexandria database.

Properties
E_form (uncorrected) = 0.6683 eV/atom
magnetization = 0.0 μB per cell

```
data_SbPdPb2Br
_chemical_formula_sum 'Sb1 Pd1 Pb2 Br1'
_space_group_name_H-M_alt 'P 4/m m m'
_space_group_IT_number 123
_space_group_name_Hall '-P 4 2'
_cell_length_a 5.995
_cell_length_b 5.995
_cell_length_c 5.399
_cell_angle_alpha 90.00
_cell_angle_beta 90.00
_cell_angle_gamma 90.00
loop_
_atom_site_label
_atom_site_type_symbol
_atom_site_fract_x
_atom_site_fract_y
_atom_site_fract_z
Sb1 Sb 0.000 0.000 0.000
Pd1 Pd 0.500 0.500 0.500
Pb1 Pb 0.000 0.500 0.000
Br1 Br 0.000 0.000 0.500
```



Record 3
The following is a PBE calculation of a geometry-optimized Mg14CrSi structure, from the Alexandria database.

Properties
energy above the lowest structure with this stoichiometry = 4 meV per atom
E_form (uncorrected) = 0.0815 eV/atom
magnetization = 3.9 μB per cell

```
data_Mg14CrSi
_chemical_formula_sum 'Mg14 Cr1 Si1'
_space_group_name_H-M_alt 'P -6 m 2'
_space_group_IT_number 187
_space_group_name_Hall 'P -6 2'
_cell_length_a 6.3031
_cell_length_b 6.3031
_cell_length_c 9.9723
_cell_angle_alpha 90.00
_cell_angle_beta 90.00
_cell_angle_gamma 120.00
loop_
_atom_site_label
_atom_site_type_symbol
_atom_site_fract_x
_atom_site_fract_y
_atom_site_fract_z
Mg1 Mg 0.0000 0.0000 0.2503
Mg2 Mg 0.0101 0.5050 0.2464
Mg3 Mg 0.3297 0.1649 0.0000
Mg4 Mg 0.3366 0.1683 0.5000
Cr1 Cr 0.3333 0.6667 0.5000
Si1 Si 0.3333 0.6667 0.0000
```



Record 4
The following is a PBE calculation of a geometry-optimized Pr8Tm5In structure, from the Alexandria database.

Properties
formation energy = 0.102 eV per atom
magnetization = 0.0 μB per cell

```
data_Pr8Tm5In
_chemical_formula_sum 'Pr16 Tm10 In2'
_space_group_name_H-M_alt 'C 1 2 1'
_space_group_IT_number 5
_cell_length_a 14.570
_cell_length_b 9.021
_cell_length_c 9.147
_cell_angle_alpha 90.00
_cell_angle_beta 127.38
_cell_angle_gamma 90.00
loop_
_space_group_symop_operation_xyz
'x,y,z'
'-x,y,-z'
'x+1/2,y+1/2,z'
'-x+1/2,y+1/2,-z'
loop_
_atom_site_label
_atom_site_type_symbol
_atom_site_fract_x
_atom_site_fract_y
_atom_site_fract_z
Pr1 Pr 0.067 0.000 0.414
Pr2 Pr 0.177 0.369 0.652
Pr3 Pr 0.231 0.565 0.041
Pr4 Pr 0.236 0.252 0.339
Tm1 Tm 0.000 0.933 0.000
Tm2 Tm 0.050 0.272 0.878
Tm3 Tm 0.084 0.598 0.241
In1 In 0.000 0.664 0.500
```



Record 5
The following is a PBE calculation of a geometry-optimized MoRu2RhS structure, from the Alexandria database.

Properties
energy above the lowest structure with this stoichiometry = 0 meV per atom
E_form (uncorrected) = 1.4573 eV/atom
magnetization = 3.5 μB per cell

```
data_MoRu2RhS
_chemical_formula_sum 'Mo1 Ru2 Rh1 S1'
_space_group_name_H-M_alt 'P 4/m m m'
_space_group_IT_number 123
_space_group_name_Hall '-P 4 2'
_cell_length_a 4.687
_cell_length_b 4.687
_cell_length_c 4.499
_cell_angle_alpha 90.00
_cell_angle_beta 90.00
_cell_angle_gamma 90.00
loop_
_atom_site_label
_atom_site_type_symbol
_atom_site_fract_x
_atom_site_fract_y
_atom_site_fract_z
Mo1 Mo 0.000 0.000 0.000
Ru1 Ru 0.000 0.500 0.000
Rh1 Rh 0.500 0.500 0.500
S1 S 0.000 0.000 0.500
```



Record 6
The following is a PBE calculation of a geometry-optimized Li2CuAu4 structure, from the Alexandria database.

Properties
formation energy = -0.127 eV per atom
energy above the lowest structure with this stoichiometry = 188 meV per atom
magnetization = 0.0 μB per cell

```
data_Li2CuAu4
_chemical_formula_sum 'Li4 Cu2 Au8'
_space_group_name_H-M_alt 'I 4/m m m'
_space_group_IT_number 139
_space_group_name_Hall '-I 4 2'
_cell_length_a 4.945
_cell_length_b 4.945
_cell_length_c 10.776
_cell_angle_alpha 90.00
_cell_angle_beta 90.00
_cell_angle_gamma 90.00
loop_
_atom_site_label
_atom_site_type_symbol
_atom_site_fract_x
_atom_site_fract_y
_atom_site_fract_z
Li1 Li 0.000 0.000 0.146
Cu1 Cu 0.000 0.000 0.500
Au1 Au 0.000 0.500 0.000
Au2 Au 0.000 0.500 0.250
```



Record 7
The following is a PBE calculation of a geometry-optimized BaTa2Cu structure, from the Alexandria database.

Properties
formation energy = 1.202 eV per atom
energy above the lowest structure with this stoichiometry = 699 meV per atom
magnetization = 0.0 μB per cell

```
data_BaTa2Cu
_chemical_formula_sum 'Ba2 Ta4 Cu2'
_space_group_name_H-M_alt 'C m m m'
_space_group_IT_number 65
_space_group_name_Hall '-C 2 2'
_cell_length_a 5.701
_cell_length_b 10.647
_cell_length_c 2.899
_cell_angle_alpha 90.00
_cell_angle_beta 90.00
_cell_angle_gamma 90.00
loop_
_atom_site_label
_atom_site_type_symbol
_atom_site_fract_x
_atom_site_fract_y
_atom_site_fract_z
Ba1 Ba 0.000 0.000 0.000
Ta1 Ta 0.250 0.250 0.500
Cu1 Cu 0.000 0.500 0.000
```



Record 8
The following is a PBE calculation of a geometry-optimized LiZr2Co2 structure, from the Alexandria database.

Properties
formation energy = -0.145 eV per atom
energy above the lowest structure with this stoichiometry = 0 meV per atom
magnetization = 0.0 μB per cell

```
data_LiZr2Co2
_chemical_formula_sum 'Li2 Zr4 Co4'
_space_group_name_H-M_alt 'P 4/m b m'
_space_group_IT_number 127
_space_group_name_Hall '-P 4 2ab'
_cell_length_a 7.194
_cell_length_b 7.194
_cell_length_c 3.200
_cell_angle_alpha 90.00
_cell_angle_beta 90.00
_cell_angle_gamma 90.00
loop_
_atom_site_label
_atom_site_type_symbol
_atom_site_fract_x
_atom_site_fract_y
_atom_site_fract_z
Li1 Li 0.000 0.000 0.000
Zr1 Zr 0.161 0.339 0.500
Co1 Co 0.133 0.633 0.000
```